Below is an optimized crystal structure of CaSmCrO4, with properties calculated at the PBE+U level.

a = 6.487 Å, b = 6.487 Å, c = 5.629 Å
α = 90.00°, β = 90.00°, γ = 130.77°
Sites, in units of the cell vectors:
Ca 0.103 0.897 0.500
Ca 0.897 0.103 0.000
Sm 0.389 0.611 0.466
Sm 0.611 0.389 0.966
Cr 0.250 0.750 0.982
Cr 0.750 0.250 0.482
O 0.025 0.473 0.734
O 0.082 0.918 0.914
O 0.425 0.575 0.057
O 0.473 0.025 0.234
O 0.527 0.975 0.734
O 0.575 0.425 0.557
O 0.918 0.082 0.414
O 0.975 0.527 0.234

Summary:
Its total DFT energy (no corrections) is -7.6326 eV per atom. Its space group is Cmc2_1. The value obtained for the total magnetization is 6.00 μB/cell.